Density functional theory data (GGA-PBE) for a geometry-optimized CaPr2Nd6Dy3 structure.

Unit cell a=6.3536 b=6.3536 c=12.0878 alpha=95.00 beta=95.00 gamma=120.01
With the nearest neighbours (Å) after each atom.
Fractional positions:
Pr1 0.3329 0.6671 0.0000  3 Pr 3.66-3.68, 3 Ca 3.66-3.67, 6 Nd 3.71-3.72
Dy1 0.8340 0.1660 0.5000  6 Nd 3.57-3.60, 6 Dy 3.65-3.68
Nd1 0.9136 0.5759 0.7433  3 Dy 3.57-3.60, 6 Nd 3.64-3.72, 2 Pr 3.71, 1 Ca 3.74
Pr2 0.6671 0.3329 0.0000  3 Pr 3.66-3.68, 3 Ca 3.66-3.67, 6 Nd 3.71-3.72
Nd2 0.7488 0.7488 0.2574  3 Dy 3.57-3.58, 6 Nd 3.64-3.72, 2 Pr 3.72, 1 Ca 3.74
Nd3 0.0864 0.4241 0.2567  3 Dy 3.57-3.60, 6 Nd 3.64-3.72, 2 Pr 3.71, 1 Ca 3.74
Nd4 0.4241 0.0864 0.2567  3 Dy 3.57-3.60, 6 Nd 3.64-3.72, 2 Pr 3.71, 1 Ca 3.74
Ca1 0.0000 0.0000 0.0000  6 Pr 3.66-3.67, 6 Nd 3.74
Nd5 0.2512 0.2512 0.7426  3 Dy 3.57-3.58, 6 Nd 3.64-3.72, 2 Pr 3.72, 1 Ca 3.74
Nd6 0.5759 0.9136 0.7433  3 Dy 3.57-3.60, 6 Nd 3.64-3.72, 2 Pr 3.71, 1 Ca 3.74
Dy2 0.5000 0.5000 0.5000  6 Nd 3.57-3.60, 6 Dy 3.66-3.68
Dy3 0.1660 0.8340 0.5000  6 Nd 3.57-3.60, 6 Dy 3.65-3.68

Summary:
- calculated volume (A^3/atom) = 34.67
- D(E_F) (states/eV/atom) = 1.16
- final energy (eV for the cell shown) = -53.7